The following is a DFT calculation (GGA-PBE) of a relaxed Y2GaS crystal.

Its crystal system is tetragonal. The raw formation energy is -0.898 eV/atom. The offset from the most stable computed form is 459.6 meV/atom. For the density, the calculation gives 4666 kg/m³.

The space group is I-42d (No. 122) and the conventional cell measures 7.480, 7.480 and 7.115 Å, with angles of 90.00, 90.00 and 90.00 degrees. Symmetry generates all atoms from Y at (0.225, 0.250, 0.125), Ga at (0.000, 0.000, 0.500) and S at (0.000, 0.000, 0.000).